1.
A plane-wave DFT calculation with GGA-PBE was carried out for MgFe2Tc after structural relaxation.

Unit cell a=3.136 b=4.207 c=8.453 alpha=90.00 beta=90.00 gamma=90.00
Space group Cmmm (No. 65)
Unique sites:
Mg 0.000 0.000 0.000
Fe 0.000 0.500 0.261
Tc 0.000 0.000 0.500

- formation energy from the elements (eV per formula unit) = 0.91
- density of states at the Fermi level (states/eV per cell) = 5.8
- mass density (g/cm³) = 6.97
- calculated total energy (eV/cell) = -55.956

=====

2.
A plane-wave DFT calculation with GGA-PBE was carried out for MgFe4Tc after structural relaxation.

Unit cell a=6.730 b=6.730 c=6.730 alpha=90.00 beta=90.00 gamma=90.00
Space group F-43m (No. 216)
Unique sites:
Mg 0.000 0.000 0.000
Fe 0.124 0.124 0.624
Tc 0.250 0.250 0.250

- formation energy from the elements (eV per formula unit) = 0.66
- density of states at the Fermi level (states/eV per cell) = 32.3
- mass density (g/cm³) = 7.53
- calculated total energy (eV/cell) = -180.608

=====

3.
A plane-wave DFT calculation with GGA-PBE was carried out for MgFeTc3 after structural relaxation.

Unit cell a=4.437 b=4.437 c=4.437 alpha=90.00 beta=90.00 gamma=90.00
Space group Pm-3m (No. 221)
Unique sites:
Mg 0.000 0.000 0.000
Fe 0.500 0.500 0.500
Tc 0.000 0.500 0.500

- polymorph energy (0 for the lowest one) (eV/f.u.) = 0.00
- formation energy from the elements (eV per formula unit) = 5.28
- density of states at the Fermi level (states/eV per cell) = 6.5
- mass density (g/cm³) = 7.11
- calculated total energy (eV/cell) = -35.871

=====

4.
A plane-wave DFT calculation with GGA-PBE was carried out for MgFe2Tc after structural relaxation.

Unit cell a=2.7755 b=2.7755 c=25.5776 alpha=90.00 beta=90.00 gamma=120.00
Space group R3m (No. 160, hexagonal axes)
Unique sites:
Mg 0.0000 0.0000 0.0000
Fe 0.0000 0.0000 0.4963
Fe 0.0000 0.0000 0.7568
Tc 0.0000 0.0000 0.2409

- formation energy from the elements (eV per formula unit) = 1.07
- density of states at the Fermi level (states/eV per cell) = 13.5
- mass density (g/cm³) = 6.83
- calculated total energy (eV/cell) = -83.447

=====

5.
A plane-wave DFT calculation with GGA-PBE was carried out for MgFe2Tc after structural relaxation.

Unit cell a=2.699 b=2.699 c=7.474 alpha=90.00 beta=90.00 gamma=90.00
Space group P4/mmm (No. 123)
Unique sites:
Mg 0.000 0.000 0.000
Fe 0.500 0.500 0.267
Tc 0.000 0.000 0.500

- formation energy from the elements (eV per formula unit) = 0.81
- density of states at the Fermi level (states/eV per cell) = 3.2
- mass density (g/cm³) = 7.14
- calculated total energy (eV/cell) = -28.072

=====

6.
A plane-wave DFT calculation with GGA-PBE was carried out for MgFe2Tc after structural relaxation.

Unit cell a=6.699 b=6.699 c=5.271 alpha=90.00 beta=90.00 gamma=90.00
Space group I-42d (No. 122)
Unique sites:
Mg 0.000 0.000 0.000
Fe 0.205 0.250 0.625
Tc 0.000 0.000 0.500

- formation energy from the elements (eV per formula unit) = 2.83
- density of states at the Fermi level (states/eV per cell) = 20.7
- mass density (g/cm³) = 6.57
- calculated total energy (eV/cell) = -104.216

=====

7.
A plane-wave DFT calculation with GGA-PBE was carried out for MgFe2Tc after structural relaxation.

Unit cell a=2.593 b=4.182 c=5.250 alpha=90.00 beta=102.81 gamma=90.00
Space group P2/m (No. 10)
Unique sites:
Mg 0.000 0.000 0.000
Fe 0.252 0.500 0.730
Tc 0.500 0.000 0.500

- formation energy from the elements (eV per formula unit) = 0.93
- density of states at the Fermi level (states/eV per cell) = 3.4
- mass density (g/cm³) = 7.00
- calculated total energy (eV/cell) = -27.958

=====

8.
A plane-wave DFT calculation with GGA-PBE was carried out for MgFe2Tc after structural relaxation.

Unit cell a=4.216 b=4.216 c=2.876 alpha=90.00 beta=90.00 gamma=90.00
Space group P4/mmm (No. 123)
Unique sites:
Mg 0.000 0.000 0.000
Fe 0.000 0.500 0.500
Tc 0.500 0.500 0.000

- formation energy from the elements (eV per formula unit) = 1.32
- density of states at the Fermi level (states/eV per cell) = 4.0
- mass density (g/cm³) = 7.60
- calculated total energy (eV/cell) = -27.564

=====

> Look up the density of states at the Fermi level of the fourth one.

13.5 states/eV per cell